(1)
A plane-wave DFT calculation with PBE-GGA was carried out for a relaxed Li7HN2 crystal.

Calculated values
offset from the most stable computed form	0.519	eV/f.u.
SG	Cmmm (65)
VASP energy	-36.25	eV per formula unit

abc: 6.0372 6.0372 3.7811
angles: 90.00 90.00 115.16
Atoms (fractional coordinates):
Li  0.0000  0.0000  0.0000
Li  0.1617  0.4620  0.0000
Li  0.1927  0.8073  0.5000
Li  0.4620  0.1617  0.0000
Li  0.5380  0.8383  0.0000
Li  0.8073  0.1927  0.5000
Li  0.8383  0.5380  0.0000
H  0.5000  0.5000  0.5000
N  0.1892  0.8108  0.0000
N  0.8108  0.1892  0.0000

=====

(2)
A plane-wave DFT calculation with PBE-GGA was carried out for a relaxed LiH2N crystal.

Calculated values
offset from the most stable computed form	0.000	eV/f.u.
SG	I-4 (82)
VASP energy	-19.03	eV per formula unit

abc: 6.2917 6.2917 6.2917
angles: 132.97 132.97 68.70
Atoms (fractional coordinates):
Li  0.0000  0.0000  0.0000
Li  0.2438  0.2438  0.0000
Li  0.2500  0.7500  0.5000
Li  0.7562  0.7562  0.0000
H  0.0373  0.2867  0.5758
H  0.2883  0.6736  0.8456
H  0.3264  0.1720  0.6147
H  0.5385  0.9627  0.2493
H  0.5573  0.7117  0.3853
H  0.7109  0.4615  0.4242
H  0.7133  0.2891  0.7507
H  0.8280  0.4427  0.1544
N  0.1197  0.0958  0.4846
N  0.3649  0.8803  0.9761
N  0.6112  0.6351  0.5154
N  0.9042  0.3888  0.0239

=====

(3)
A plane-wave DFT calculation with PBE-GGA was carried out for a relaxed Li2H3N crystal.

Calculated values
SG	Fmmm (69)
VASP energy	-23.45	eV per formula unit

abc: 5.9884 5.7877 4.2342
angles: 71.48 66.41 42.10
Atoms (fractional coordinates):
Li  0.2004  0.7996  0.7996
Li  0.2500  0.2500  0.2500
Li  0.7500  0.7500  0.7500
Li  0.7996  0.2004  0.2004
H  0.2607  0.2607  0.7393
H  0.2818  0.6412  0.3588
H  0.3588  0.7182  0.2818
H  0.6412  0.2818  0.7182
H  0.7182  0.3588  0.6412
H  0.7393  0.7393  0.2607
N  0.1588  0.1588  0.8412
N  0.8412  0.8412  0.1588

=====

(4)
A plane-wave DFT calculation with PBE-GGA was carried out for a relaxed LiH2N crystal.

Calculated values
offset from the most stable computed form	0.001	eV/f.u.
SG	Fddd (70)
VASP energy	-19.03	eV per formula unit

abc: 6.4254 6.2901 5.0064
angles: 68.24 65.40 46.36
Atoms (fractional coordinates):
Li  0.0063  0.0063  0.2437
Li  0.2437  0.2437  0.0063
Li  0.7563  0.7563  0.9937
Li  0.9937  0.9937  0.7563
H  0.0505  0.6090  0.3293
H  0.3293  0.5112  0.0505
H  0.3910  0.9495  0.4888
H  0.4888  0.6707  0.3910
H  0.5112  0.3293  0.6090
H  0.6090  0.0505  0.5112
H  0.6707  0.4888  0.9495
H  0.9495  0.3910  0.6707
N  0.1020  0.6480  0.1020
N  0.3520  0.8980  0.3520
N  0.6480  0.1020  0.6480
N  0.8980  0.3520  0.8980

=====

(5)
A plane-wave DFT calculation with PBE-GGA was carried out for a relaxed LiH2N crystal.

Calculated values
offset from the most stable computed form	1.919	eV/f.u.
SG	I4_1/amd (141)
VASP energy	-17.11	eV per formula unit

abc: 4.7382 4.7382 4.7382
angles: 139.02 139.02 59.34
Atoms (fractional coordinates):
Li  0.3750  0.6250  0.7500
Li  0.6250  0.3750  0.2500
H  0.0000  0.0000  0.0000
H  0.0000  0.0000  0.5000
H  0.0000  0.5000  0.0000
H  0.5000  0.0000  0.5000
N  0.1250  0.8750  0.2500
N  0.8750  0.1250  0.7500

=====

(6)
A plane-wave DFT calculation with PBE-GGA was carried out for a relaxed LiH2N crystal.

Calculated values
offset from the most stable computed form	5.093	eV/f.u.
SG	Fm-3m (225)
VASP energy	-13.94	eV per formula unit

abc: 3.0053 3.0053 3.0053
angles: 60.00 60.00 60.00
Atoms (fractional coordinates):
Li  0.0000  0.0000  0.0000
H  0.2500  0.2500  0.2500
H  0.7500  0.7500  0.7500
N  0.5000  0.5000  0.5000